## LiYCd2 (PBEsol)

Data for a relaxed LiYCd2 crystal.

Computed properties:
N(E_F), states/eV/cell: 2.516
ΔH_f (0 K), meV per atom: -250.7
Total energy, eV/atom: -3.046

Unit cell a=3.375 b=5.081 c=5.270 alpha=90.00 beta=90.00 gamma=90.00
Fractional positions:
1 Cd 0.000 0.000 0.057
2 Y 0.500 0.500 0.171
3 Li 0.500 0.000 0.594
4 Cd 0.000 0.500 0.678


## TePbAu2 (PBEsol)

Data for a relaxed TePbAu2 crystal.

Computed properties:
N(E_F), states/eV/cell: 2.294
Total energy, eV/atom: -3.762
Energy relative to the lowest polymorph listed for this composition, eV/atom: 0.109
Energy relative to the elements, uncorrected, eV/atom: 0.08

Unit cell a=3.385 b=3.385 c=8.007 alpha=90.00 beta=90.00 gamma=90.00
Fractional positions:
1 Au 0.500 0.500 0.221
2 Pb 0.000 0.000 0.449
3 Te 0.500 0.500 0.800
4 Au 0.000 0.000 0.031


> Number 2 is which compound?

TePbAu2